VASP calculation (PBE) on crystalline TbPmPu2Sb4 at its relaxed geometry.

size of the total moment	1.258	μB per atom
formation energy from raw total energies	-0.88	eV per atom
volume	30.86	A^3/atom

Cell: 7.6711 4.4403 7.6895 Å, 90.00 109.52 90.00°
With the nearest neighbours (Å) after each atom.
Atoms (fractional coordinates):
Tb (0.0000, 0.0000, 0.0000)  6 Sb 3.14
Pm (0.0000, 0.5000, 0.5000)  6 Sb 3.17
Pu (0.5000, 0.0000, 0.5000)  6 Sb 3.13
Pu (0.5000, 0.5000, 0.0000)  6 Sb 3.11
Sb (0.2527, 0.5000, 0.2482)  3 Pu 3.11-3.13, 2 Tb 3.14, 1 Pm 3.17
Sb (0.2547, 0.0000, 0.7544)  3 Pu 3.11-3.13, 1 Tb 3.14, 2 Pm 3.17
Sb (0.7452, 0.0000, 0.2456)  3 Pu 3.11-3.13, 1 Tb 3.14, 2 Pm 3.17
Sb (0.7473, 0.5000, 0.7518)  3 Pu 3.11-3.13, 2 Tb 3.14, 1 Pm 3.17

VASP calculation (PBE) on crystalline TmZr2Cd at its relaxed geometry.

size of the total moment	0.000	μB per atom
polymorph energy (0 for the lowest one)	33	meV per atom
DFT formation energy	-9	kJ/mol of formula units
volume	23.60	A^3/atom

Cell: 4.5114 4.5114 4.6386 Å, 90.00 90.00 90.00°
With the nearest neighbours (Å) after each atom.
Atoms (fractional coordinates):
Tm (0.0000, 0.0000, 0.0000)  4 Cd 3.19, 8 Zr 3.24
Zr (0.0000, 0.5000, 0.5000)  4 Zr 3.19, 4 Cd 3.24, 4 Tm 3.24
Zr (0.5000, 0.0000, 0.5000)  4 Zr 3.19, 4 Cd 3.24, 4 Tm 3.24
Cd (0.5000, 0.5000, 0.0000)  4 Tm 3.19, 8 Zr 3.24

VASP calculation (PBE) on crystalline LaSbIN2 at its relaxed geometry.

size of the total moment	0.120	μB per atom
formation energy from raw total energies	0.79	eV per atom
polymorph energy (0 for the lowest one)	130	meV per atom
volume	26.44	A^3/atom

Cell: 4.4541 4.4541 6.6644 Å, 90.00 90.00 90.00°
With the nearest neighbours (Å) after each atom.
Atoms (fractional coordinates):
La (0.0000, 0.0000, 0.0000)  4 N 2.23
Sb (0.5000, 0.5000, 0.5000)  4 I 3.15
I (0.0000, 0.0000, 0.5000)  4 Sb 3.15, 2 La 3.33
N (0.0000, 0.5000, 0.0000)  2 La 2.23
N (0.5000, 0.0000, 0.0000)  2 La 2.23

VASP calculation (PBE) on crystalline ScTl4Re at its relaxed geometry.

size of the total moment	0.219	μB per atom
DFT formation energy	575	kJ/mol of formula units
volume	25.24	A^3/atom

Cell: 5.9827 5.9827 5.9827 Å, 60.00 60.00 60.00°
With the nearest neighbours (Å) after each atom.
Atoms (fractional coordinates):
Sc (0.0000, 0.0000, 0.0000)  12 Tl 3.51, 4 Re 3.66
Tl (0.1263, 0.6246, 0.6246)  6 Tl 2.98-3.00
Tl (0.6246, 0.1263, 0.6246)  6 Tl 2.98-3.00
Tl (0.6246, 0.6246, 0.1263)  6 Tl 2.98-3.00
Tl (0.6246, 0.6246, 0.6246)  6 Tl 2.98-3.00
Re (0.2500, 0.2500, 0.2500)  12 Tl 3.51, 4 Sc 3.66

VASP calculation (PBE) on crystalline Ce4Hg3Pb at its relaxed geometry.

size of the total moment	0.551	μB per atom
polymorph energy (0 for the lowest one)	0	meV per atom
DFT formation energy	-248	kJ/mol of formula units
volume	27.30	A^3/atom

Cell: 4.8989 4.8989 18.2001 Å, 90.00 90.00 90.00°
With the nearest neighbours (Å) after each atom.
Atoms (fractional coordinates):
Ce (0.0000, 0.5000, 0.1271)  6 Hg 3.32-3.37, 2 Pb 3.37, 4 Ce 3.46
Ce (0.0000, 0.5000, 0.3729)  6 Hg 3.32-3.37, 2 Pb 3.37, 4 Ce 3.46
Ce (0.0000, 0.5000, 0.6271)  6 Hg 3.32-3.37, 2 Pb 3.37, 4 Ce 3.46
Ce (0.0000, 0.5000, 0.8729)  6 Hg 3.32-3.37, 2 Pb 3.37, 4 Ce 3.46
Ce (0.5000, 0.0000, 0.1271)  6 Hg 3.32-3.37, 2 Pb 3.37, 4 Ce 3.46
Ce (0.5000, 0.0000, 0.3729)  6 Hg 3.32-3.37, 2 Pb 3.37, 4 Ce 3.46
Ce (0.5000, 0.0000, 0.6271)  6 Hg 3.32-3.37, 2 Pb 3.37, 4 Ce 3.46
Ce (0.5000, 0.0000, 0.8729)  6 Hg 3.32-3.37, 2 Pb 3.37, 4 Ce 3.46
Hg (0.0000, 0.0000, 0.0000)  8 Ce 3.37, 4 Pb 3.46
Hg (0.0000, 0.0000, 0.2502)  8 Ce 3.32, 4 Hg 3.46
Hg (0.0000, 0.0000, 0.7498)  8 Ce 3.32, 4 Hg 3.46
Hg (0.5000, 0.5000, 0.2498)  8 Ce 3.32, 4 Hg 3.46
Hg (0.5000, 0.5000, 0.5000)  8 Ce 3.37, 4 Pb 3.46
Hg (0.5000, 0.5000, 0.7502)  8 Ce 3.32, 4 Hg 3.46
Pb (0.0000, 0.0000, 0.5000)  8 Ce 3.37, 4 Hg 3.46
Pb (0.5000, 0.5000, 0.0000)  8 Ce 3.37, 4 Hg 3.46

VASP calculation (PBE) on crystalline BaPr2Nd at its relaxed geometry.

size of the total moment	0.000	μB per atom
polymorph energy (0 for the lowest one)	83	meV per atom
DFT formation energy	69	kJ/mol of formula units
volume	40.32	A^3/atom

Cell: 3.7386 3.7386 39.9687 Å, 90.00 90.00 120.00°
With the nearest neighbours (Å) after each atom.
Atoms (fractional coordinates):
Ba (0.0000, 0.0000, 0.0000)  2 Pr 3.71, 6 Ba 3.74
Ba (0.3333, 0.6667, 0.6667)  2 Pr 3.71, 6 Ba 3.74
Ba (0.6667, 0.3333, 0.3333)  2 Pr 3.71, 6 Ba 3.74
Pr (0.0000, 0.0000, 0.0928)  3 Nd 3.66, 1 Ba 3.71, 6 Pr 3.74
Pr (0.0000, 0.0000, 0.9072)  3 Nd 3.66, 1 Ba 3.71, 6 Pr 3.74
Pr (0.3333, 0.6667, 0.5739)  3 Nd 3.66, 1 Ba 3.71, 6 Pr 3.74
Pr (0.3333, 0.6667, 0.7595)  3 Nd 3.66, 1 Ba 3.71, 6 Pr 3.74
Pr (0.6667, 0.3333, 0.2405)  3 Nd 3.66, 1 Ba 3.71, 6 Pr 3.74
Pr (0.6667, 0.3333, 0.4261)  3 Nd 3.66, 1 Ba 3.71, 6 Pr 3.74
Nd (0.0000, 0.0000, 0.5000)  6 Pr 3.66, 6 Nd 3.74
Nd (0.3333, 0.6667, 0.1667)  6 Pr 3.66, 6 Nd 3.74
Nd (0.6667, 0.3333, 0.8333)  6 Pr 3.66, 6 Nd 3.74

VASP calculation (PBE) on crystalline CdCu2Re at its relaxed geometry.

size of the total moment	0.000	μB per atom
DFT formation energy	207	kJ/mol of formula units
volume	14.64	A^3/atom

Cell: 4.0683 4.0683 3.5385 Å, 90.00 90.00 90.00°
With the nearest neighbours (Å) after each atom.
Atoms (fractional coordinates):
Cd (0.0000, 0.0000, 0.0000)  8 Cu 2.70, 4 Re 2.88
Cu (0.0000, 0.5000, 0.5000)  4 Cd 2.70, 4 Re 2.70, 4 Cu 2.88
Cu (0.5000, 0.0000, 0.5000)  4 Cd 2.70, 4 Re 2.70, 4 Cu 2.88
Re (0.5000, 0.5000, 0.0000)  8 Cu 2.70, 4 Cd 2.88

VASP calculation (PBE) on crystalline Cu2TcPtF at its relaxed geometry.

size of the total moment	0.000	μB per atom
formation energy from raw total energies	1.20	eV per atom
volume	20.77	A^3/atom

Cell: 4.7194 4.7194 4.6624 Å, 90.00 90.00 90.00°
With the nearest neighbours (Å) after each atom.
Atoms (fractional coordinates):
Cu (0.0000, 0.5000, 0.0000)  2 Tc 2.36
Cu (0.5000, 0.0000, 0.0000)  2 Tc 2.36
Tc (0.0000, 0.0000, 0.0000)  2 Pt 2.33, 4 Cu 2.36
Pt (0.0000, 0.0000, 0.5000)  2 Tc 2.33
F (0.5000, 0.5000, 0.5000)  8 Cu 3.32, 4 Pt 3.34

Which value of volume does entry 8 give? 20.77 A^3/atom